Record 1
GGA-PBE CsLiHg2I6, optimized geometry; raw formation energy = -0.71 eV/atom; DOS(E_F) = 0.000 states/eV per atom; electronic total energy = -19.753 eV/cell
1.0
8.0789 -0.0006 -0.0031
-4.0396 6.9981 0.0009
-4.0376 -2.3305 8.7913
Cs Li Hg I
1 1 2 6
Direct
0.9966 0.4978 0.4803
0.9964 0.9977 0.9802
0.4606 0.7296 0.1766
0.5326 0.2659 0.7839
0.5714 0.9461 0.7673
0.4217 0.0493 0.1932
0.8358 0.7851 0.1930
0.1575 0.3710 0.1932
0.8356 0.6246 0.7673
0.1574 0.2104 0.7675

Record 2
GGA-PBE Cs2LiHgI4, optimized geometry; raw formation energy = -1.04 eV/atom; DOS(E_F) = 0.769 states/eV per atom; electronic total energy = -36.886 eV/cell
1.0
-3.8322 -3.9034 -4.3343
4.6014 -6.3863 -3.9360
-4.9206 -10.4965 8.1848
Cs Li Hg I
4 2 2 8
Direct
0.1811 0.0000 0.6377
0.8189 0.0000 0.3623
0.5689 0.5000 0.8623
0.9311 0.5000 0.1377
0.7500 0.5000 0.5000
0.0000 0.0000 0.0000
0.2500 0.5000 0.5000
0.5000 0.0000 0.0000
0.2572 0.7803 0.1179
0.1554 0.2197 0.8821
0.9625 0.7803 0.8821
0.6249 0.2197 0.1179
0.4928 0.7197 0.3821
0.5946 0.2803 0.6179
0.7875 0.7197 0.6179
0.1251 0.2803 0.3821

Record 3
GGA-PBE CsLi2HgI6, optimized geometry; raw formation energy = -0.82 eV/atom; DOS(E_F) = 0.046 states/eV per atom; electronic total energy = -44.956 eV/cell
1.0
9.5389 0.3399 0.3528
3.4651 10.7060 -0.7990
3.4651 -1.1953 10.6690
Cs Li Hg I
2 4 2 12
Direct
0.2500 0.8743 0.1257
0.7500 0.1257 0.8743
0.4361 0.7438 0.5830
0.0639 0.4170 0.2562
0.5639 0.2562 0.4170
0.9361 0.5830 0.7438
0.2500 0.1798 0.8202
0.7500 0.8202 0.1798
0.2077 0.9345 0.7984
0.2923 0.2016 0.0655
0.7923 0.0655 0.2016
0.7077 0.7984 0.9345
0.4513 0.8566 0.3717
0.0487 0.6283 0.1434
0.5487 0.1434 0.6283
0.9513 0.3717 0.8566
0.1992 0.6352 0.6021
0.3008 0.3979 0.3648
0.8008 0.3648 0.3979
0.6992 0.6021 0.6352

Record 4
GGA-PBE CsLiHgI2, optimized geometry; raw formation energy = -0.34 eV/atom; DOS(E_F) = 0.076 states/eV per atom; electronic total energy = -7.856 eV/cell; ΔE to the lowest computed polymorph = 681 meV per atom
1.0
7.0759 0.0000 0.0000
0.0000 6.2501 0.0000
0.0000 0.0000 7.0759
Cs I Hg Li
1 2 1 1
Direct
0.0000 0.5000 0.0000
0.0000 0.0000 0.5000
0.5000 0.0000 0.0000
0.0000 0.0000 0.0000
0.5000 0.5000 0.5000

Record 5
GGA-PBE Cs2Mn2HgI6, optimized geometry; raw formation energy = -0.58 eV/atom; electronic total energy = -36.031 eV/cell
1.0
-0.5514 -8.5857 7.3446
0.1513 -9.5282 -2.2955
6.7090 4.3112 5.5410
Cs Mn Hg I
2 2 1 6
Direct
0.7354 0.5311 0.9267
0.2646 0.4689 0.0733
0.0766 0.8469 0.8756
0.9234 0.1531 0.1244
0.5000 0.0000 0.5000
0.3747 0.6173 0.8257
0.9981 0.3726 0.1712
0.0613 0.8814 0.6319
0.0019 0.6274 0.8288
0.9387 0.1186 0.3681
0.6253 0.3827 0.1743

Record 6
GGA-PBE Cs3Mn2HgI9, optimized geometry; raw formation energy = -0.81 eV/atom; DOS(E_F) = 0.163 states/eV per atom; electronic total energy = -47.314 eV/cell
1.0
-5.5638 -2.7852 5.6141
8.1768 -0.0254 1.8360
-0.8404 9.4875 3.8740
Cs Mn Hg I
3 2 1 9
Direct
0.3333 0.6667 0.6651
0.0000 0.0000 0.0000
0.6667 0.3333 0.3349
0.3333 0.6667 0.1618
0.6667 0.3333 0.8382
0.0000 0.0000 0.5000
0.8278 0.1722 0.6749
0.8278 0.6555 0.6749
0.3445 0.1722 0.6749
0.6555 0.8278 0.3251
0.1722 0.3445 0.3251
0.1722 0.8278 0.3251
0.5000 0.0000 0.0000
0.0000 0.5000 0.0000
0.5000 0.5000 0.0000

Record 7
GGA-PBE CsMn2HgI8, optimized geometry; raw formation energy = -0.50 eV/atom; DOS(E_F) = 0.834 states/eV per atom; electronic total energy = -37.915 eV/cell
1.0
-1.1758 -0.3980 -7.3642
1.6568 -6.2644 -3.7126
-9.7750 -5.9067 -1.9067
Cs Mn Hg I
1 2 1 8
Direct
0.5000 0.5000 0.5000
0.2538 0.2538 0.2386
0.7462 0.7462 0.7614
0.0000 0.0000 0.0000
0.1729 0.1729 0.4813
0.6160 0.2802 0.1694
0.8271 0.8271 0.5187
0.9344 0.6160 0.1694
0.0656 0.3840 0.8306
0.2802 0.9344 0.1694
0.7198 0.0656 0.8306
0.3840 0.7198 0.8306

Record 8
GGA-PBE CsHgIN2, optimized geometry; raw formation energy = 1.85 eV/atom; DOS(E_F) = 0.937 states/eV per atom; electronic total energy = -10.108 eV/cell; ΔE to the lowest computed polymorph = 632 meV per atom
1.0
-3.5607 0.5630 -3.4331
-3.3748 -1.7523 3.2129
-1.3069 7.1525 2.5283
Cs I Hg N
1 1 1 2
Direct
0.0000 0.0000 0.0000
0.0000 0.0000 0.5000
0.5000 0.5000 0.5000
0.0000 0.5000 0.0000
0.5000 0.0000 0.0000

Record 9
GGA-PBE CsHgIN2, optimized geometry; raw formation energy = 1.22 eV/atom; DOS(E_F) = 0.252 states/eV per atom; electronic total energy = -13.268 eV/cell; ΔE to the lowest computed polymorph = 0 meV per atom
1.0
5.0065 0.0000 0.0000
0.0000 5.0065 0.0000
0.0000 0.0000 6.4450
Cs I Hg N
1 1 1 2
Direct
0.5000 0.5000 0.5000
0.0000 0.0000 0.5000
0.0000 0.0000 0.0000
0.0000 0.5000 0.0000
0.5000 0.0000 0.0000

Record 10
GGA-PBE CsHgI2N, optimized geometry; raw formation energy = 0.13 eV/atom; DOS(E_F) = 0.215 states/eV per atom; electronic total energy = -11.939 eV/cell; ΔE to the lowest computed polymorph = 0 meV per atom
1.0
6.4953 0.0000 0.0000
0.0000 6.4953 0.0000
0.0000 0.0000 4.4061
Cs I Hg N
1 2 1 1
Direct
0.5000 0.5000 0.5000
0.0000 0.5000 0.0000
0.5000 0.0000 0.0000
0.0000 0.0000 0.0000
0.0000 0.0000 0.5000

Record 11
GGA-PBE Cs2HgI6N, optimized geometry; raw formation energy = -0.24 eV/atom; DOS(E_F) = 0.329 states/eV per atom; electronic total energy = -22.067 eV/cell
1.0
-4.1515 -5.6878 3.8748
5.3584 -5.5111 -2.3486
3.7405 -4.6042 5.5850
Cs I Hg N
2 6 1 1
Direct
0.7500 0.2500 0.5000
0.2500 0.7500 0.5000
0.2743 0.2743 0.4513
0.7257 0.7257 0.5487
0.2656 0.2656 0.0000
0.7344 0.7344 0.0000
0.7344 0.2656 0.0000
0.2656 0.7344 0.0000
0.0000 0.0000 0.0000
0.5000 0.5000 0.0000

Record 12
GGA-PBE CsHgI2N, optimized geometry; raw formation energy = 0.99 eV/atom; DOS(E_F) = 1.494 states/eV per atom; electronic total energy = -7.650 eV/cell; ΔE to the lowest computed polymorph = 858 meV per atom
1.0
-1.4652 -6.7722 2.0592
6.8615 -1.8753 -1.2852
1.0853 1.0578 4.2511
Cs I Hg N
1 2 1 1
Direct
0.0000 0.0000 0.0000
0.0000 0.5000 0.0000
0.5000 0.0000 0.0000
0.5000 0.5000 0.5000
0.0000 0.0000 0.5000

Record 13
GGA-PBE CsNa3Hg4I12, optimized geometry; raw formation energy = -0.68 eV/atom; DOS(E_F) = 0.000 states/eV per atom; electronic total energy = -38.178 eV/cell
1.0
-4.3907 3.7524 -8.7688
-7.1828 -6.5237 4.0123
0.1922 8.1612 6.6036
Cs Na Hg I
1 3 4 12
Direct
0.0000 0.0000 0.0000
0.5538 0.4462 0.0000
0.4462 0.0000 0.5538
0.0000 0.5538 0.4462
0.9364 0.0636 0.5000
0.0636 0.5000 0.9364
0.5000 0.9364 0.0636
0.5000 0.5000 0.5000
0.5000 0.3342 0.6658
0.8963 0.5000 0.1037
0.1037 0.8963 0.5000
0.5000 0.1037 0.8963
0.3292 0.9427 0.2240
0.2240 0.3292 0.9427
0.9427 0.2240 0.3292
0.6708 0.7760 0.0573
0.0573 0.6708 0.7760
0.7760 0.0573 0.6708
0.6658 0.5000 0.3342
0.3342 0.6658 0.5000

Record 14
GGA-PBE CsNaHg2I, optimized geometry; raw formation energy = -0.53 eV/atom; DOS(E_F) = 0.626 states/eV per atom; electronic total energy = -6.998 eV/cell
1.0
-2.7767 5.2029 -0.6700
-2.1685 -0.4482 5.5069
5.0818 3.0012 2.2454
Cs I Hg Na
1 1 2 1
Direct
0.5000 0.5000 0.5000
0.0000 0.0000 0.5000
0.0000 0.5000 0.0000
0.5000 0.0000 0.0000
0.0000 0.0000 0.0000

Record 15
GGA-PBE CsNa2HgI6, optimized geometry; raw formation energy = -0.83 eV/atom; DOS(E_F) = 0.002 states/eV per atom; electronic total energy = -42.716 eV/cell
1.0
-5.2081 0.9114 7.8914
-10.2577 -5.4770 -1.6333
4.8401 -6.5548 8.4553
Cs Na Hg I
2 4 2 12
Direct
0.2500 0.8908 0.1092
0.7500 0.1092 0.8908
0.4040 0.7118 0.5208
0.0960 0.4792 0.2882
0.5960 0.2882 0.4792
0.9040 0.5208 0.7118
0.2500 0.1642 0.8358
0.7500 0.8358 0.1642
0.2158 0.9230 0.7925
0.2842 0.2075 0.0770
0.7842 0.0770 0.2075
0.7158 0.7925 0.9230
0.4473 0.8796 0.3525
0.0527 0.6475 0.1204
0.5527 0.1204 0.6475
0.9473 0.3525 0.8796
0.0712 0.6661 0.5509
0.4288 0.4491 0.3339
0.9288 0.3339 0.4491
0.5712 0.5509 0.6661

Record 16
GGA-PBE Cs2NaHgI5, optimized geometry; raw formation energy = -1.07 eV/atom; electronic total energy = -41.333 eV/cell
1.0
-1.7405 1.5485 -4.1859
-8.3324 -7.6838 3.3633
-7.7266 11.6757 7.5321
Cs Na Hg I
4 2 2 10
Direct
0.8711 0.7421 0.8227
0.1363 0.2726 0.6905
0.1289 0.2579 0.3227
0.8637 0.7274 0.1905
0.7891 0.5781 0.5371
0.2109 0.4219 0.0371
0.5648 0.1296 0.9230
0.4352 0.8704 0.4230
0.3444 0.6887 0.0067
0.6855 0.3710 0.8865
0.5046 0.0092 0.7690
0.3016 0.6033 0.6649
0.9590 0.9181 0.5235
0.6556 0.3113 0.5067
0.3145 0.6290 0.3865
0.4954 0.9908 0.2690
0.6984 0.3967 0.1649
0.0410 0.0819 0.0235

Record 17
GGA-PBE CsNa2HgI4, optimized geometry; raw formation energy = -0.98 eV/atom; DOS(E_F) = 0.166 states/eV per atom; electronic total energy = -35.665 eV/cell
1.0
5.5257 0.0000 0.0000
-2.7629 7.9242 0.0000
0.0000 0.0000 15.9198
Cs Na Hg I
2 4 2 8
Direct
0.1359 0.2717 0.7500
0.8641 0.7283 0.2500
0.3741 0.7483 0.5473
0.6259 0.2517 0.0473
0.6259 0.2517 0.4527
0.3741 0.7483 0.9527
0.8863 0.7725 0.7500
0.1137 0.2275 0.2500
0.2574 0.5148 0.1098
0.7426 0.4852 0.6098
0.7426 0.4852 0.8902
0.2574 0.5148 0.3902
0.0000 0.0000 0.5000
0.0000 0.0000 0.0000
0.4382 0.8764 0.7500
0.5618 0.1236 0.2500

Record 18
GGA-PBE CsNaHgI4, optimized geometry; raw formation energy = -0.93 eV/atom; DOS(E_F) = 0.000 states/eV per atom; electronic total energy = -30.337 eV/cell
1.0
7.6428 0.0000 0.1073
0.0000 8.5813 0.0000
-2.8510 0.0000 10.1462
Cs Na Hg I
2 2 2 8
Direct
0.7820 0.7500 0.9482
0.2180 0.2500 0.0518
0.8544 0.7500 0.4834
0.1456 0.2500 0.5166
0.2362 0.7500 0.3174
0.7638 0.2500 0.6826
0.0323 0.5002 0.7137
0.9677 0.0002 0.2863
0.9677 0.4998 0.2863
0.0323 0.9998 0.7137
0.3367 0.7500 0.0780
0.6633 0.2500 0.9220
0.4865 0.7500 0.5611
0.5135 0.2500 0.4389

Record 19
GGA-PBE CsNbHgI6, optimized geometry; raw formation energy = -0.59 eV/atom; electronic total energy = -25.839 eV/cell
1.0
9.1536 0.0589 -0.0080
4.6278 7.9008 0.0094
-0.0131 0.0231 6.9073
Cs Nb Hg I
1 1 1 6
Direct
0.6642 0.6643 0.5000
0.3335 0.3335 0.5000
0.0011 0.0010 0.9998
0.0858 0.3364 0.2614
0.3363 0.0859 0.7387
0.5794 0.3341 0.7384
0.0826 0.5828 0.7336
0.3340 0.5794 0.2615
0.5829 0.0826 0.2664

Record 20
GGA-PBE Cs2NiHgI6, optimized geometry; raw formation energy = -0.68 eV/atom; DOS(E_F) = 0.270 states/eV per atom; electronic total energy = -47.801 eV/cell
1.0
8.2454 0.0000 0.0000
4.1227 7.1408 0.0000
4.1227 2.3803 14.0534
Cs Ni Hg I
4 2 2 12
Direct
0.8782 0.8782 0.3654
0.1218 0.1218 0.6346
0.7057 0.7057 0.8830
0.2943 0.2943 0.1170
0.0000 0.0000 0.0000
0.5000 0.5000 0.5000
0.5873 0.5873 0.2382
0.4127 0.4127 0.7618
0.8564 0.3801 0.3834
0.3801 0.8564 0.3834
0.3801 0.3801 0.3834
0.1436 0.6199 0.6166
0.6199 0.1436 0.6166
0.6199 0.6199 0.6166
0.7267 0.1931 0.8871
0.1931 0.7267 0.8871
0.1931 0.1931 0.8871
0.2733 0.8069 0.1129
0.8069 0.2733 0.1129
0.8069 0.8069 0.1129